No. 1
# Fe2SiSb

A geometry-optimized Fe2SiSb structure (PBE-GGA, Alexandria via LeMat-Bulk).

```
data_Fe2SiSb
_cell_length_a 3.036
_cell_length_b 3.036
_cell_length_c 7.101
_cell_angle_alpha 90.00
_cell_angle_beta 90.00
_cell_angle_gamma 90.00
_space_group_name_H-M_alt 'P 1'
_space_group_IT_number 1
loop_
_space_group_symop_operation_xyz
'x,y,z'
loop_
_atom_site_label
_atom_site_fract_x
_atom_site_fract_y
_atom_site_fract_z
_atom_site_occupancy
Fe1 0.000 0.000 0.000 1
Fe2 0.500 0.500 0.184 1
Si1 0.500 0.500 0.835 1
Sb1 0.000 0.000 0.433 1
```

Calculated values
**Formation energy without anion corrections**: 57 kJ/mol of formula units
**Density**: 6.64 g cm⁻³
**Symmetry**: P4mm (99)
**VASP energy**: -6.47 eV per atom


No. 2
# Cd8Os

A geometry-optimized Cd8Os structure (PBE-GGA, Alexandria via LeMat-Bulk).

```
data_Cd8Os
_cell_length_a 6.954
_cell_length_b 6.954
_cell_length_c 6.954
_cell_angle_alpha 95.22
_cell_angle_beta 95.22
_cell_angle_gamma 144.89
_space_group_name_H-M_alt 'P 1'
_space_group_IT_number 1
loop_
_space_group_symop_operation_xyz
'x,y,z'
loop_
_atom_site_label
_atom_site_fract_x
_atom_site_fract_y
_atom_site_fract_z
_atom_site_occupancy
Cd1 0.000 0.325 0.325 1
Cd2 0.000 0.675 0.675 1
Cd3 0.325 0.000 0.325 1
Cd4 0.341 0.341 0.683 1
Cd5 0.341 0.659 0.000 1
Cd6 0.659 0.341 0.000 1
Cd7 0.659 0.659 0.317 1
Cd8 0.675 0.000 0.675 1
Os1 0.000 0.000 0.000 1
```

Calculated values
**Density**: 9.81 g cm⁻³
**Symmetry**: I4/mmm (139)
**VASP energy**: -1.81 eV per atom


No. 3
# PmNd3H8

A geometry-optimized PmNd3H8 structure (PBE-GGA, Alexandria via LeMat-Bulk).

```
data_PmNd3H8
_cell_length_a 5.457
_cell_length_b 5.457
_cell_length_c 5.457
_cell_angle_alpha 90.00
_cell_angle_beta 90.00
_cell_angle_gamma 90.00
_space_group_name_H-M_alt 'P 1'
_space_group_IT_number 1
loop_
_space_group_symop_operation_xyz
'x,y,z'
loop_
_atom_site_label
_atom_site_fract_x
_atom_site_fract_y
_atom_site_fract_z
_atom_site_occupancy
Pm1 0.000 0.000 0.000 1
Nd1 0.000 0.500 0.500 1
Nd2 0.500 0.000 0.500 1
Nd3 0.500 0.500 0.000 1
H1 0.248 0.248 0.248 1
H2 0.248 0.248 0.752 1
H3 0.248 0.752 0.248 1
H4 0.248 0.752 0.752 1
H5 0.752 0.248 0.248 1
H6 0.752 0.248 0.752 1
H7 0.752 0.752 0.248 1
H8 0.752 0.752 0.752 1
```

Calculated values
**Density**: 5.99 g cm⁻³
**Symmetry**: Pm-3m (221)
**VASP energy**: -4.48 eV per atom


No. 4
# SrAcSn4

A geometry-optimized SrAcSn4 structure (PBE-GGA, Alexandria via LeMat-Bulk).

```
data_SrAcSn4
_cell_length_a 10.483
_cell_length_b 17.522
_cell_length_c 4.445
_cell_angle_alpha 90.00
_cell_angle_beta 90.00
_cell_angle_gamma 90.00
_space_group_name_H-M_alt 'P 1'
_space_group_IT_number 1
loop_
_space_group_symop_operation_xyz
'x,y,z'
loop_
_atom_site_label
_atom_site_fract_x
_atom_site_fract_y
_atom_site_fract_z
_atom_site_occupancy
Sr1 0.130 0.078 0.000 1
Sr2 0.370 0.578 0.000 1
Sr3 0.630 0.422 0.000 1
Sr4 0.870 0.922 0.000 1
Ac1 0.103 0.368 0.000 1
Ac2 0.397 0.868 0.000 1
Ac3 0.603 0.132 0.000 1
Ac4 0.897 0.632 0.000 1
Sn1 0.049 0.216 0.500 1
Sn2 0.128 0.529 0.500 1
Sn3 0.143 0.915 0.500 1
Sn4 0.178 0.695 0.500 1
Sn5 0.322 0.195 0.500 1
Sn6 0.357 0.415 0.500 1
Sn7 0.372 0.029 0.500 1
Sn8 0.451 0.716 0.500 1
Sn9 0.549 0.284 0.500 1
Sn10 0.628 0.971 0.500 1
Sn11 0.643 0.585 0.500 1
Sn12 0.678 0.805 0.500 1
Sn13 0.822 0.305 0.500 1
Sn14 0.857 0.085 0.500 1
Sn15 0.872 0.471 0.500 1
Sn16 0.951 0.784 0.500 1
```

Calculated values
**Density**: 6.42 g cm⁻³
**Energy relative to the lowest polymorph listed for this composition**: 39 kJ/mol of formula units
**Symmetry**: Pbam (55)
**VASP energy**: -4.01 eV per atom


No. 5
# PmTh3Se6

A geometry-optimized PmTh3Se6 structure (PBE-GGA, Alexandria via LeMat-Bulk).

```
data_PmTh3Se6
_cell_length_a 9.015
_cell_length_b 9.015
_cell_length_c 7.244
_cell_angle_alpha 90.00
_cell_angle_beta 90.00
_cell_angle_gamma 101.87
_space_group_name_H-M_alt 'P 1'
_space_group_IT_number 1
loop_
_space_group_symop_operation_xyz
'x,y,z'
loop_
_atom_site_label
_atom_site_fract_x
_atom_site_fract_y
_atom_site_fract_z
_atom_site_occupancy
Pm1 0.164 0.836 0.500 1
Pm2 0.836 0.164 0.000 1
Th1 0.073 0.274 0.513 1
Th2 0.274 0.073 0.013 1
Th3 0.401 0.599 0.118 1
Th4 0.599 0.401 0.618 1
Th5 0.726 0.927 0.513 1
Th6 0.927 0.726 0.013 1
Se1 0.000 0.000 0.259 1
Se2 0.000 0.000 0.759 1
Se3 0.093 0.559 0.283 1
Se4 0.240 0.760 0.863 1
Se5 0.305 0.371 0.818 1
Se6 0.371 0.305 0.318 1
Se7 0.441 0.907 0.283 1
Se8 0.559 0.093 0.783 1
Se9 0.629 0.695 0.818 1
Se10 0.695 0.629 0.318 1
Se11 0.760 0.240 0.363 1
Se12 0.907 0.441 0.783 1
```

Calculated values
**Formation energy without anion corrections**: -1586 kJ/mol of formula units
**Density**: 7.58 g cm⁻³
**Symmetry**: Cmc2_1 (36)
**VASP energy**: -6.44 eV per atom


No. 6
# KU2Cu2Te6

A geometry-optimized KU2Cu2Te6 structure (PBE-GGA, Alexandria via LeMat-Bulk).

```
data_KU2Cu2Te6
_cell_length_a 7.624
_cell_length_b 7.651
_cell_length_c 7.946
_cell_angle_alpha 63.84
_cell_angle_beta 65.73
_cell_angle_gamma 65.09
_space_group_name_H-M_alt 'P 1'
_space_group_IT_number 1
loop_
_space_group_symop_operation_xyz
'x,y,z'
loop_
_atom_site_label
_atom_site_fract_x
_atom_site_fract_y
_atom_site_fract_z
_atom_site_occupancy
K1 0.000 0.000 0.000 1
U1 0.326 0.334 0.001 1
U2 0.674 0.666 0.999 1
Cu1 0.427 0.782 0.659 1
Cu2 0.573 0.218 0.341 1
Te1 0.091 0.704 0.739 1
Te2 0.292 0.550 0.257 1
Te3 0.466 0.070 0.734 1
Te4 0.534 0.930 0.266 1
Te5 0.708 0.450 0.743 1
Te6 0.909 0.296 0.261 1
```

Calculated values
**Formation energy without anion corrections**: -525 kJ/mol of formula units
**Density**: 6.45 g cm⁻³
**Symmetry**: P-1 (2)
**VASP energy**: -5.10 eV per atom


No. 7
# SrPmSb4

A geometry-optimized SrPmSb4 structure (PBE-GGA, Alexandria via LeMat-Bulk).

```
data_SrPmSb4
_cell_length_a 6.388
_cell_length_b 6.388
_cell_length_c 6.388
_cell_angle_alpha 60.00
_cell_angle_beta 60.00
_cell_angle_gamma 60.00
_space_group_name_H-M_alt 'P 1'
_space_group_IT_number 1
loop_
_space_group_symop_operation_xyz
'x,y,z'
loop_
_atom_site_label
_atom_site_fract_x
_atom_site_fract_y
_atom_site_fract_z
_atom_site_occupancy
Sr1 0.000 0.000 0.000 1
Pm1 0.250 0.250 0.250 1
Sb1 0.126 0.625 0.625 1
Sb2 0.625 0.126 0.625 1
Sb3 0.625 0.625 0.126 1
Sb4 0.625 0.625 0.625 1
```

Calculated values
**Formation energy without anion corrections**: -192 kJ/mol of formula units
**Density**: 6.48 g cm⁻³
**Symmetry**: F-43m (216)
**VASP energy**: -4.15 eV per atom


No. 8
# HfSc5C4

A geometry-optimized HfSc5C4 structure (PBE-GGA, Alexandria via LeMat-Bulk).

```
data_HfSc5C4
_cell_length_a 7.415
_cell_length_b 7.415
_cell_length_c 6.664
_cell_angle_alpha 102.58
_cell_angle_beta 102.58
_cell_angle_gamma 25.88
_space_group_name_H-M_alt 'P 1'
_space_group_IT_number 1
loop_
_space_group_symop_operation_xyz
'x,y,z'
loop_
_atom_site_label
_atom_site_fract_x
_atom_site_fract_y
_atom_site_fract_z
_atom_site_occupancy
Hf1 0.000 0.000 0.000 1
Sc1 0.000 0.000 0.500 1
Sc2 0.333 0.333 0.145 1
Sc3 0.341 0.341 0.690 1
Sc4 0.659 0.659 0.310 1
Sc5 0.667 0.667 0.855 1
C1 0.167 0.167 0.088 1
C2 0.499 0.499 0.252 1
C3 0.501 0.501 0.748 1
C4 0.833 0.833 0.912 1
```

Calculated values
**Density**: 4.81 g cm⁻³
**Symmetry**: C2/m (12)
**VASP energy**: -8.40 eV per atom